[1]
{"formula": "Ga2Sb2Au", "functional": "PBE", "state": "optimized geometry", "raw_formation_energy_mev_per_atom": 109, "dft_energy_ev_per_cell": -34.1, "polymorph_energy_mev_per_atom": 10.0, "magnetic_moment_mub_per_fu": 0.0, "vol_a3_per_atom": 24.12, "cell": [[-5.8197, -0.9834, 5.0175], [4.3283, -4.9944, 4.0414], [1.4123, 3.0300, 2.2319]], "species": ["Sb", "Sb", "Sb", "Sb", "Au", "Au", "Ga", "Ga", "Ga", "Ga"], "fractional_positions": [[0.3236, 0.8236, 0.0000], [0.8236, 0.6764, 0.0000], [0.6764, 0.1764, 0.0000], [0.1764, 0.3236, 0.0000], [0.0000, 0.0000, 0.0000], [0.5000, 0.5000, 0.0000], [0.1279, 0.6279, 0.5000], [0.6279, 0.8721, 0.5000], [0.8721, 0.3721, 0.5000], [0.3721, 0.1279, 0.5000]]}

***

[2]
{"formula": "ZrAsI2", "functional": "PBE", "state": "optimized geometry", "raw_formation_energy_mev_per_atom": -663, "dft_energy_ev_per_cell": -37.9, "polymorph_energy_mev_per_atom": 120.8, "magnetic_moment_mub_per_fu": 0.0, "vol_a3_per_atom": 43.35, "cell": [[7.4319, 0.0000, 0.0000], [3.6408, 6.5891, 0.0000], [2.7238, 2.7605, 7.0828]], "species": ["I", "I", "I", "I", "As", "As", "Zr", "Zr"], "fractional_positions": [[0.0131, 0.1564, 0.6829], [0.7860, 0.8271, 0.5889], [0.4984, 0.3642, 0.1673], [0.9054, 0.5983, 0.1745], [0.3831, 0.2863, 0.7344], [0.3931, 0.6477, 0.5179], [0.6970, 0.3055, 0.4557], [0.1622, 0.5109, 0.4549]]}

***

[3]
{"formula": "TcAsRuSe2", "functional": "PBE", "state": "optimized geometry", "raw_formation_energy_mev_per_atom": 1007, "dft_energy_ev_per_cell": -26.2, "polymorph_energy_mev_per_atom": 0.0, "magnetic_moment_mub_per_fu": 3.1, "vol_a3_per_atom": 22.74, "cell": [[4.9805, 0.0000, 0.0000], [0.0000, 4.9805, 0.0000], [0.0000, 0.0000, 4.5834]], "species": ["Ru", "As", "Tc", "Se", "Se"], "fractional_positions": [[0.0000, 0.0000, 0.0000], [0.0000, 0.0000, 0.5000], [0.5000, 0.5000, 0.5000], [0.0000, 0.5000, 0.0000], [0.5000, 0.0000, 0.0000]]}